[1]
DFT (PBE) results for ScCd2Pt after structural relaxation.

Cell lengths 4.055, 4.053, 4.738 Å; angles 90.00, 90.00, 90.00 degrees
Atoms (fractional coordinates):
Sc 0.000 0.500 0.500
Cd 0.500 0.500 0.000
Cd 0.000 0.000 0.000
Pt 0.500 0.000 0.500

Calculated values
The space group is No. 123. The calculation puts the final energy at -4.03 eV/atom. The energy of formation comes out at -0.484 eV/atom.

***

[2]
DFT (PBE) results for Cu2GePd2 after structural relaxation.

Cell lengths 4.286, 5.503, 7.094 Å; angles 112.82, 107.58, 90.00 degrees
Atoms (fractional coordinates):
Pd 0.181 0.680 0.861
Ge 0.619 0.869 0.737
Pd 0.819 0.320 0.139
Cu 0.999 0.749 0.498
Cu 0.386 0.636 0.273
Pd 0.181 0.181 0.861
Cu 0.001 0.251 0.502
Pd 0.819 0.819 0.139
Ge 0.381 0.131 0.263
Cu 0.614 0.364 0.727

Calculated values
The space group is No. 74. The calculation puts the final energy at -4.79 eV/atom. The energy of formation comes out at -0.148 eV/atom.

***

[3]
DFT (PBE) results for KLa2Ag after structural relaxation.

Cell lengths 12.386, 12.386, 12.386 Å; angles 17.72, 17.72, 17.72 degrees
Atoms (fractional coordinates):
La 0.980 0.980 0.980
La 0.520 0.520 0.520
K 0.750 0.750 0.750
Ag 0.250 0.250 0.250

Calculated values
The space group is No. 166. The calculation puts the final energy at -3.31 eV/atom. The energy of formation comes out at 0.143 eV/atom.

***

[4]
DFT (PBE) results for Cu5PO8 after structural relaxation.

Cell lengths 6.550, 5.494, 5.494 Å; angles 90.00, 114.79, 114.80 degrees
Site moments in Bohr magnetons follow the coordinates.
Atoms (fractional coordinates):
O 0.781 0.391 0.665  0.12
Cu 0.000 0.500 0.500  0.07
Cu 0.286 0.143 0.393  0.22
Cu 0.715 0.606 0.857  0.22
P 0.500 0.750 0.250  0.01
Cu 0.714 0.108 0.857  0.22
O 0.335 0.904 0.167  0.03
Cu 0.285 0.143 0.892  0.22
O 0.781 0.391 0.117  0.12
O 0.665 0.833 0.096  0.03
O 0.219 0.883 0.609  0.12
O 0.219 0.336 0.609  0.12
O 0.665 0.833 0.569  0.03
O 0.335 0.430 0.167  0.03

Calculated values
For the formation energy (no corrections), the calculation gives -11.92 eV/f.u. The space group is No. 119. The calculation puts the final energy at -5.53 eV/atom.